DFT (PBEsol) results for MgTaW2 after structural relaxation.

The density comes out at 13.967 g cm⁻³. The value obtained for the magnetization is 0.00 Bohr magnetons per cell.

The space group is P4mm (No. 99) and the conventional cell measures 2.695, 2.695 and 9.380 Å, with angles of 90.00, 90.00 and 90.00 degrees. The distinct sites, in fractional coordinates, are Mg at (0.000, 0.000, 0.000), Ta at (0.500, 0.500, 0.267), W at (0.000, 0.000, 0.513) and W at (0.500, 0.500, 0.755).

***

DFT (PBEsol) results for MgTaW2 after structural relaxation.

The density comes out at 13.929 g cm⁻³. The value obtained for the magnetization is 0.00 Bohr magnetons per cell.

The space group is R3m (No. 160, hexagonal axes) and the conventional cell measures 2.8128, 2.8128 and 29.9068 Å, with angles of 90.00, 90.00 and 120.00 degrees. The distinct sites, in fractional coordinates, are Mg at (0.0000, 0.0000, 0.0000), Ta at (0.0000, 0.0000, 0.7539), W at (0.0000, 0.0000, 0.2506) and W at (0.0000, 0.0000, 0.5040).

***

DFT (PBEsol) results for MgTaW2 after structural relaxation.

The density comes out at 14.200 g cm⁻³. The value obtained for the magnetization is 0.00 Bohr magnetons per cell.

The space group is Cm (No. 8) and the conventional cell measures 9.432, 2.669 and 5.329 Å, with angles of 90.00, 92.86 and 90.00 degrees. The distinct sites, in fractional coordinates, are Mg at (0.000, 0.000, 0.000), Ta at (0.251, 0.000, 0.750), W at (0.000, 0.500, 0.493) and W at (0.247, 0.500, 0.253).

***

DFT (PBEsol) results for MgTaW2 after structural relaxation.

The density comes out at 14.181 g cm⁻³. The value obtained for the magnetization is 0.00 Bohr magnetons per cell.

The space group is Pmm2 (No. 25) and the conventional cell measures 2.672, 4.452 and 5.639 Å, with angles of 90.00, 90.00 and 90.00 degrees. The distinct sites, in fractional coordinates, are Mg at (0.000, 0.000, 0.000), Ta at (0.500, 0.500, 0.254), W at (0.000, 0.000, 0.507) and W at (0.500, 0.500, 0.742).

***

Record-wise calculated total energy values, in eV per atom: -10.035, -9.992, -10.037, -10.033